{"formula": "BaHf2Nb", "functional": "GGA-PBEsol", "state": "relaxed", "ef_mev_per_atom": 778, "e_tot_ev_per_atom": -7.72, "volume_a3_per_atom": 23.0, "lattice": [[5.068, 0.000, 0.000], [2.534, 4.389, 0.000], [2.534, 1.463, 4.138]], "species": ["Nb", "Hf", "Hf", "Ba"], "frac_coords": [[0.000, 0.000, 0.000], [0.250, 0.250, 0.250], [0.750, 0.750, 0.750], [0.500, 0.500, 0.500]]}